# RhWO3 PBE with a Hubbard U relaxed
data_RhWO3
_chemical_formula_sum 'Rh1 W1 O3'
_cell_length_a 3.9104
_cell_length_b 3.9104
_cell_length_c 3.9104
_cell_angle_alpha 90.00
_cell_angle_beta 90.00
_cell_angle_gamma 90.00
_space_group_name_H-M_alt 'P 1'
_space_group_IT_number 1
loop_
_space_group_symop_operation_xyz
'x,y,z'
loop_
_atom_site_label
_atom_site_fract_x
_atom_site_fract_y
_atom_site_fract_z
Rh1 0.0000 0.0000 0.0000
W1 0.5000 0.5000 0.5000
O1 0.0000 0.0000 0.5000
O2 0.0000 0.5000 0.0000
O3 0.5000 0.0000 0.0000
# * E_tot: -5.790 eV per atom
# * total magnetization: 0.558 μB/atom
# * SG: No. 221